The following is a GGA-PBE calculation of crystalline Nd2Er2Zn3 at its relaxed geometry, from Alexandria via LeMat-Bulk.

The total energy comes out at -23.9 eV/f.u. The value obtained for the density of states at the Fermi level is 9.25 states/eV/cell. The formation energy comes out at -199 meV/atom. The size of the total moment is 0.00 μB/f.u. The space group is C2/m, No. 12.

Cell and atoms, written as POSCAR:
```
Nd2Er2Zn3
1.0
4.8408 -0.0018 -1.3497
-2.6109 4.2833 -0.0053
-0.1493 -0.0956 8.7998
Nd Zn Er
2 3 2
direct
0.7473 0.8736 0.6219
0.2527 0.1264 0.3781
0.0000 0.0000 0.0000
0.5105 0.2554 0.7660
0.4895 0.7446 0.2340
0.7508 0.3755 0.1256
0.2492 0.6245 0.8744
```